[1]
Cu2Ag2O3 | PBE | optimized geometry

Cell: 6.843 6.843 6.843 Å, 128.04 128.04 76.55°
Sites, in units of the cell vectors:
Cu 0.000 0.000 0.000
Cu 0.000 0.000 0.500
Cu 0.000 0.500 0.000
Cu 0.500 0.000 0.500
Ag 0.000 0.500 0.500
Ag 0.500 0.000 0.000
Ag 0.500 0.500 0.000
Ag 0.500 0.500 0.500
O 0.112 0.362 0.750
O 0.125 0.875 0.250
O 0.362 0.112 0.250
O 0.638 0.888 0.750
O 0.875 0.125 0.750
O 0.888 0.638 0.250

Output
The total magnetization comes out at 0.0572 μB per atom. The total energy comes out at -4.463 eV per atom. The raw formation energy is -354 meV per atom.

=====

[2]
Cu2Ag3O4 | PBE | optimized geometry

Cell: 6.534 6.534 5.659 Å, 90.93 90.93 101.67°
Sites, in units of the cell vectors:
Cu 0.110 0.337 0.401
Cu 0.337 0.110 0.901
Cu 0.663 0.890 0.099
Cu 0.890 0.663 0.599
Ag 0.111 0.889 0.250
Ag 0.299 0.576 0.009
Ag 0.424 0.701 0.491
Ag 0.576 0.299 0.509
Ag 0.701 0.424 0.991
Ag 0.889 0.111 0.750
O 0.125 0.530 0.663
O 0.139 0.248 0.074
O 0.248 0.139 0.574
O 0.470 0.875 0.837
O 0.530 0.125 0.163
O 0.752 0.861 0.426
O 0.861 0.752 0.926
O 0.875 0.470 0.337

Output
The total magnetization comes out at 0.0000 μB per atom. The total energy comes out at -4.229 eV per atom. The raw formation energy is -164 meV per atom.

=====

[3]
CuAg2O2 | PBE | optimized geometry

Cell: 5.710 5.710 5.710 Å, 150.02 133.00 56.76°
Sites, in units of the cell vectors:
Cu 0.000 0.000 0.000
Ag 0.352 0.352 0.000
Ag 0.648 0.648 0.000
O 0.129 0.629 0.500
O 0.871 0.371 0.500

Output
The total magnetization comes out at 0.1236 μB per atom. The total energy comes out at -4.155 eV per atom. The raw formation energy is -212 meV per atom.

=====

[4]
Cu2AgO4 | PBE | optimized geometry

Cell: 6.418 6.418 6.418 Å, 128.62 128.62 75.62°
Sites, in units of the cell vectors:
Cu 0.000 0.000 0.000
Cu 0.500 0.000 0.000
Cu 0.500 0.000 0.500
Cu 0.500 0.500 0.500
Ag 0.125 0.375 0.750
Ag 0.875 0.625 0.250
O 0.124 0.967 0.786
O 0.162 0.376 0.343
O 0.319 0.662 0.286
O 0.467 0.181 0.843
O 0.533 0.819 0.157
O 0.681 0.338 0.714
O 0.838 0.624 0.657
O 0.876 0.033 0.214

Output
The total magnetization comes out at 0.0000 μB per atom. The total energy comes out at -4.737 eV per atom. The value obtained for the energy relative to the lowest polymorph listed for this composition is 0.0061 eV per atom. The raw formation energy is -327 meV per atom.

=====

[5]
CuAgPO4 | PBE | optimized geometry

Cell: 8.105 5.559 7.808 Å, 90.00 94.81 90.00°
Sites, in units of the cell vectors:
Cu 0.097 0.121 0.365
Cu 0.097 0.379 0.865
Cu 0.903 0.621 0.135
Cu 0.903 0.879 0.635
Ag 0.441 0.131 0.699
Ag 0.441 0.369 0.199
Ag 0.559 0.631 0.801
Ag 0.559 0.869 0.301
P 0.227 0.620 0.510
P 0.227 0.880 0.010
P 0.773 0.120 0.990
P 0.773 0.380 0.490
O 0.074 0.704 0.983
O 0.074 0.796 0.483
O 0.212 0.063 0.856
O 0.212 0.437 0.356
O 0.227 0.014 0.183
O 0.227 0.486 0.683
O 0.389 0.735 0.008
O 0.389 0.765 0.508
O 0.611 0.235 0.492
O 0.611 0.265 0.992
O 0.773 0.514 0.317
O 0.773 0.986 0.817
O 0.788 0.563 0.644
O 0.788 0.937 0.144
O 0.926 0.204 0.517
O 0.926 0.296 0.017

Output
The total magnetization comes out at 0.1371 μB per atom. The total energy comes out at -5.885 eV per atom. The raw formation energy is -1287 meV per atom.

=====

[6]
CuAgP2O8 | PBE | optimized geometry

Cell: 7.954 7.954 7.954 Å, 34.22 34.22 34.22°
Sites, in units of the cell vectors:
Cu 0.000 0.000 0.000
Ag 0.500 0.500 0.500
P 0.260 0.260 0.260
P 0.740 0.740 0.740
O 0.028 0.395 0.738
O 0.191 0.191 0.191
O 0.262 0.972 0.605
O 0.395 0.738 0.028
O 0.605 0.262 0.972
O 0.738 0.028 0.395
O 0.809 0.809 0.809
O 0.972 0.605 0.262

Output
The total magnetization comes out at 0.0000 μB per atom. The total energy comes out at -5.952 eV per atom. The raw formation energy is -1166 meV per atom.

=====

Result set for Fermi-level density of states: 0.47; 0.45; 0.37; 0.50; 0.23; 0.55 states/eV per atom, one per record in the order listed.